Entry 1:
PmNbTe | PBE | optimized geometry

Structure (extended XYZ):
```
3
Lattice="0.000 3.448 3.448 3.448 0.000 3.448 3.448 3.448 0.000" Properties=species:S:1:pos:R:3 pbc="T T T"
Nb 1.724 1.724 1.724
Pm 5.172 5.172 5.172
Te 0.000 0.000 0.000
```

Symmetry: F-43m, No. 216
DFT total energy, eV/atom: -5.938
ΔE to the lowest computed polymorph, meV per atom: 0
ρ, g cm⁻³: 7.40

=====

Entry 2:
PmNbTe | PBE | optimized geometry

Structure (extended XYZ):
```
3
Lattice="0.108 -3.681 3.584 -3.956 -0.556 3.232 -3.100 -4.078 -0.411" Properties=species:S:1:pos:R:3 pbc="T T T"
Nb -1.737 -2.079 1.601
Pm 0.000 0.000 0.000
Te -5.212 -6.236 4.804
```

Symmetry: F-43m, No. 216
DFT total energy, eV/atom: -5.328
ΔE to the lowest computed polymorph, meV per atom: 610
ρ, g cm⁻³: 6.32

=====

Entry 3:
PmNbTl | PBE | optimized geometry

Structure (extended XYZ):
```
3
Lattice="0.000 3.515 3.515 3.515 0.000 3.515 3.515 3.515 0.000" Properties=species:S:1:pos:R:3 pbc="T T T"
Nb 1.757 1.757 1.757
Pm 5.272 5.272 5.272
Tl 0.000 0.000 0.000
```

Symmetry: F-43m, No. 216
DFT total energy, eV/atom: -5.086
ΔE to the lowest computed polymorph, meV per atom: 0
ρ, g cm⁻³: 8.46

=====

Entry 4:
PmNbTl | PBE | optimized geometry

Structure (extended XYZ):
```
3
Lattice="3.274 -1.475 3.576 -0.534 -4.528 2.212 3.319 -3.704 -0.975" Properties=species:S:1:pos:R:3 pbc="T T T"
Nb 1.515 -2.427 1.203
Pm 0.000 0.000 0.000
Tl 4.544 -7.281 3.609
```

Symmetry: F-43m, No. 216
DFT total energy, eV/atom: -4.727
ΔE to the lowest computed polymorph, meV per atom: 359
ρ, g cm⁻³: 7.98

=====

Entry 5:
PmUNb | PBE | optimized geometry

Structure (extended XYZ):
```
3
Lattice="1.294 -2.208 4.159 -3.422 -1.382 3.198 -0.963 -4.743 0.649" Properties=species:S:1:pos:R:3 pbc="T T T"
Nb 0.000 0.000 0.000
Pm -0.773 -2.083 2.001
U -2.318 -6.249 6.004
```

Symmetry: F-43m, No. 216
DFT total energy, eV/atom: -7.698
ΔE to the lowest computed polymorph, meV per atom: 0
ρ, g cm⁻³: 9.60
Calculated formation energy, eV/atom: 1.014

=====

Entry 6:
PmNbW | PBE | optimized geometry

Structure (extended XYZ):
```
3
Lattice="0.000 3.295 3.295 3.295 0.000 3.295 3.295 3.295 0.000" Properties=species:S:1:pos:R:3 pbc="T T T"
Nb 1.647 1.647 1.647
Pm 4.942 4.942 4.942
W 0.000 0.000 0.000
```

Symmetry: F-43m, No. 216
DFT total energy, eV/atom: -8.430
ΔE to the lowest computed polymorph, meV per atom: 0
ρ, g cm⁻³: 9.79
Calculated formation energy, eV/atom: 0.836

=====

Entry 7:
PmNbZn | PBE | optimized geometry

Structure (extended XYZ):
```
3
Lattice="1.478 -1.483 4.170 -0.900 2.516 3.825 -3.074 -1.556 3.147" Properties=species:S:1:pos:R:3 pbc="T T T"
Nb -0.624 -0.131 2.785
Pm -1.872 -0.392 8.356
Zn 0.000 0.000 0.000
```

Symmetry: F-43m, No. 216
DFT total energy, eV/atom: -4.839
ΔE to the lowest computed polymorph, meV per atom: 0
ρ, g cm⁻³: 7.01
Calculated formation energy, eV/atom: 0.529

=====

Entry 8:
PmNbZn | PBE | optimized geometry

Structure (extended XYZ):
```
3
Lattice="2.271 -3.046 2.998 1.247 1.458 4.443 -2.315 -1.766 3.865" Properties=species:S:1:pos:R:3 pbc="T T T"
Nb 0.301 -0.839 2.826
Pm 0.000 0.000 0.000
Zn 0.902 -2.516 8.479
```

Symmetry: F-43m, No. 216
DFT total energy, eV/atom: -4.214
ΔE to the lowest computed polymorph, meV per atom: 625
ρ, g cm⁻³: 6.28
Calculated formation energy, eV/atom: 1.154

=====

Entry 9:
PmZrNb | PBE | optimized geometry

Structure (extended XYZ):
```
3
Lattice="2.422 1.399 3.956 -2.422 1.399 3.956 0.000 -2.797 3.956" Properties=species:S:1:pos:R:3 pbc="T T T"
Nb 0.000 0.000 0.000
Pm 0.000 0.000 8.900
Zr 0.000 0.000 2.967
```

Symmetry: F-43m, No. 216
DFT total energy, eV/atom: -7.033
ΔE to the lowest computed polymorph, meV per atom: 0
ρ, g cm⁻³: 6.80
Calculated formation energy, eV/atom: 0.762

=====

Entry 10:
PrPuNb | PBE | optimized geometry

Structure (extended XYZ):
```
3
Lattice="3.778 -3.009 0.574 -0.762 -4.743 0.762 1.089 -3.227 -3.473" Properties=species:S:1:pos:R:3 pbc="T T T"
Nb 0.000 0.000 0.000
Pr 1.026 -2.745 -0.534
Pu 3.079 -8.234 -1.603
```

Symmetry: F-43m, No. 216
DFT total energy, eV/atom: -8.842
ΔE to the lowest computed polymorph, meV per atom: 0
ρ, g cm⁻³: 9.75
Calculated formation energy, eV/atom: 0.824

=====

Entry 11:
RbPrNb | PBE | optimized geometry

Structure (extended XYZ):
```
3
Lattice="4.236 -1.091 3.568 -0.206 1.930 5.301 -0.773 -3.594 4.284" Properties=species:S:1:pos:R:3 pbc="T T T"
Nb 0.000 0.000 0.000
Pr 0.814 -0.689 3.288
Rb 2.443 -2.066 9.865
```

Symmetry: F-43m, No. 216
DFT total energy, eV/atom: -3.650
ΔE to the lowest computed polymorph, meV per atom: 0
ρ, g cm⁻³: 4.17

=====

Entry 12:
PrNbRe | PBE | optimized geometry

Structure (extended XYZ):
```
3
Lattice="0.000 3.267 3.267 3.267 0.000 3.267 3.267 3.267 0.000" Properties=species:S:1:pos:R:3 pbc="T T T"
Nb 0.000 0.000 0.000
Pr 1.634 1.634 1.634
Re 4.901 4.901 4.901
```

Symmetry: F-43m, No. 216
DFT total energy, eV/atom: -8.226
ρ, g cm⁻³: 10.00
Calculated formation energy, eV/atom: 0.871